TcSnN after structural relaxation. Source: the Alexandria database, functional PBE.

```
TcSnN
1.0
3.8499 0.0000 0.0000
0.0000 4.8279 0.0000
0.0000 0.0000 5.5120
Tc Sn N
2 2 2
direct
0.2500 0.2500 0.1906
0.7500 0.7500 0.8094
0.2500 0.7500 0.4175
0.7500 0.2500 0.5825
0.2500 0.7500 0.8440
0.7500 0.2500 0.1560
```

Values from the calculation:
The density of states at the Fermi level is 0.81 states/eV per atom. The calculation puts the total energy at -7.127 eV per atom. The formation energy from raw total energies comes out at 10.09 kcal/mol of atoms.

***

Pr3Dy5Te12 after structural relaxation. Source: the Alexandria database, functional PBE.

```
Pr3Dy5Te12
1.0
-9.1668 9.1668 9.1668
9.1668 -9.1668 9.1668
9.1668 9.1668 -9.1668
Pr Dy Te
12 20 48
direct
0.1250 0.2500 0.3750
0.1250 0.3750 0.7500
0.2500 0.3750 0.1250
0.2500 0.8750 0.6250
0.3750 0.1250 0.2500
0.3750 0.7500 0.1250
0.6250 0.2500 0.8750
0.6250 0.8750 0.7500
0.7500 0.1250 0.3750
0.7500 0.6250 0.8750
0.8750 0.6250 0.2500
0.8750 0.7500 0.6250
0.0000 0.0000 0.0000
0.0000 0.0000 0.5000
0.0000 0.5000 0.0000
0.0000 0.5000 0.5000
0.1250 0.7500 0.8750
0.1250 0.8750 0.2500
0.2500 0.1250 0.8750
0.2500 0.6250 0.3750
0.3750 0.2500 0.6250
0.3750 0.6250 0.7500
0.5000 0.0000 0.0000
0.5000 0.0000 0.5000
0.5000 0.5000 0.0000
0.5000 0.5000 0.5000
0.6250 0.3750 0.2500
0.6250 0.7500 0.3750
0.7500 0.3750 0.6250
0.7500 0.8750 0.1250
0.8750 0.1250 0.7500
0.8750 0.2500 0.1250
0.0468 0.2212 0.1285
0.0468 0.3256 0.9183
0.0817 0.6285 0.4073
0.0817 0.9532 0.6744
0.0927 0.7212 0.6744
0.0927 0.8715 0.4183
0.1285 0.0468 0.2212
0.1285 0.5817 0.9073
0.1744 0.2212 0.5927
0.1744 0.4532 0.5817
0.2212 0.1285 0.0468
0.2212 0.5927 0.1744
0.2788 0.3256 0.9073
0.2788 0.4532 0.3715
0.3256 0.9073 0.2788
0.3256 0.9183 0.0468
0.3715 0.2788 0.4532
0.3715 0.5927 0.9183
0.4073 0.0817 0.6285
0.4073 0.8256 0.7788
0.4183 0.0927 0.8715
0.4183 0.8256 0.5468
0.4532 0.3715 0.2788
0.4532 0.5817 0.1744
0.5468 0.4183 0.8256
0.5468 0.6285 0.7212
0.5817 0.1744 0.4532
0.5817 0.9073 0.1285
0.5927 0.1744 0.2212
0.5927 0.9183 0.3715
0.6285 0.4073 0.0817
0.6285 0.7212 0.5468
0.6744 0.0817 0.9532
0.6744 0.0927 0.7212
0.7212 0.5468 0.6285
0.7212 0.6744 0.0927
0.7788 0.4073 0.8256
0.7788 0.8715 0.9532
0.8256 0.5468 0.4183
0.8256 0.7788 0.4073
0.8715 0.4183 0.0927
0.8715 0.9532 0.7788
0.9073 0.1285 0.5817
0.9073 0.2788 0.3256
0.9183 0.0468 0.3256
0.9183 0.3715 0.5927
0.9532 0.6744 0.0817
0.9532 0.7788 0.8715
```

Values from the calculation:
The calculation puts the total energy at -4.980 eV per atom. The formation energy from raw total energies comes out at -28.31 kcal/mol of atoms.

***

Ca3CuNi3 after structural relaxation. Source: the Alexandria database, functional PBE.

```
Ca3CuNi3
1.0
2.1184 -5.0818 0.0000
2.1184 5.0818 0.0000
0.0000 0.0000 12.7670
Ca Cu Ni
6 2 6
direct
0.0139 0.9861 0.7500
0.2747 0.7253 0.1036
0.2747 0.7253 0.3964
0.7253 0.2747 0.6036
0.7253 0.2747 0.8964
0.9861 0.0139 0.2500
0.0000 0.0000 0.0000
0.0000 0.0000 0.5000
0.3240 0.6760 0.7500
0.4363 0.5637 0.5850
0.4363 0.5637 0.9150
0.5637 0.4363 0.0850
0.5637 0.4363 0.4150
0.6760 0.3240 0.2500
```

Values from the calculation:
The density of states at the Fermi level is 0.74 states/eV per atom. The calculation puts the total energy at -4.078 eV per atom. The calculation puts the calculated formation energy at -0.158 eV per atom.

***

Ac3Hg4Ge4 after structural relaxation. Source: the Alexandria database, functional PBE.

```
Ac3Hg4Ge4
1.0
-2.3605 3.8988 7.9827
2.3605 -3.8988 7.9827
2.3605 3.8988 -7.9827
Ac Hg Ge
3 4 4
direct
0.0000 0.0000 0.0000
0.3696 0.8696 0.5000
0.6304 0.1304 0.5000
0.0320 0.3347 0.6973
0.3626 0.6653 0.6973
0.6374 0.3347 0.3027
0.9680 0.6653 0.3027
0.2127 0.2127 0.0000
0.3276 0.5000 0.8276
0.6724 0.5000 0.1724
0.7873 0.7873 0.0000
```

Values from the calculation:
The density of states at the Fermi level is 0.49 states/eV per atom. The calculation puts the total energy at -3.343 eV per atom. The calculation puts the calculated formation energy at -0.434 eV per atom.

***

YMgP2 after structural relaxation. Source: the Alexandria database, functional PBE.

```
YMgP2
1.0
1.9940 1.1512 6.1589
-1.9940 1.1512 6.1589
0.0000 -2.3024 6.1589
Y Mg P
1 1 2
direct
0.0000 0.0000 0.0000
0.5000 0.5000 0.5000
0.2465 0.2465 0.2465
0.7535 0.7535 0.7535
```

Values from the calculation:
The density of states at the Fermi level is 0.73 states/eV per atom. The calculation puts the total energy at -5.580 eV per atom. The calculation puts the calculated formation energy at -0.861 eV per atom.

***

Tb4ErMg7 after structural relaxation. Source: the Alexandria database, functional PBE.

```
Tb4ErMg7
1.0
5.7283 -2.8263 0.0000
5.7283 2.8263 0.0000
-4.9311 0.0000 10.4431
Tb Er Mg
4 1 7
direct
0.0672 0.0672 0.3281
0.3375 0.3375 0.2207
0.6625 0.6625 0.7793
0.9328 0.9328 0.6719
0.5000 0.5000 0.0000
0.0000 0.0000 0.0000
0.2024 0.2024 0.9229
0.2537 0.2537 0.6832
0.3737 0.3737 0.5039
0.6263 0.6263 0.4961
0.7463 0.7463 0.3168
0.7976 0.7976 0.0771
```

Values from the calculation:
The excess energy over the best structure of this formula in the dataset is 4.07 kcal/mol of atoms. The density of states at the Fermi level is 1.10 states/eV per atom. The calculation puts the total energy at -2.703 eV per atom. The calculation puts the calculated formation energy at 0.150 eV per atom.

***

Nb3Ga4Au after structural relaxation. Source: the Alexandria database, functional PBE.

```
Nb3Ga4Au
1.0
9.4114 0.0000 0.0000
0.0000 5.4383 0.0000
0.0000 0.0000 5.3451
Nb Ga Au
6 8 2
direct
0.0000 0.1177 0.0000
0.2377 0.3655 0.6534
0.2623 0.6345 0.1534
0.5000 0.8823 0.5000
0.7377 0.6345 0.1534
0.7623 0.3655 0.6534
0.0000 0.1132 0.4928
0.0000 0.6068 0.8887
0.2229 0.8642 0.6837
0.2771 0.1358 0.1837
0.5000 0.3932 0.3887
0.5000 0.8868 0.9928
0.7229 0.1358 0.1837
0.7771 0.8642 0.6837
0.0000 0.6182 0.3847
0.5000 0.3818 0.8847
```

Values from the calculation:
The density of states at the Fermi level is 0.47 states/eV per atom. The calculation puts the total energy at -5.874 eV per atom. The calculation puts the calculated formation energy at -0.175 eV per atom.

***

Mn2ReBiP after structural relaxation. Source: the Alexandria database, functional PBE.

```
Mn2ReBiP
1.0
4.7766 0.0000 0.0000
0.0000 4.7766 0.0000
0.0000 0.0000 5.1265
Mn Re Bi P
2 1 1 1
direct
0.0000 0.5000 0.0000
0.5000 0.0000 0.0000
0.0000 0.0000 0.5000
0.0000 0.0000 0.0000
0.5000 0.5000 0.5000
```

Values from the calculation:
The density of states at the Fermi level is 1.86 states/eV per atom. The calculation puts the total energy at -5.290 eV per atom. The calculation puts the calculated formation energy at 2.725 eV per atom.

***

Ti2Cr4Cu3Se12 after structural relaxation. Source: the Alexandria database, functional PBE.

```
Ti2Cr4Cu3Se12
1.0
5.2430 -5.2379 0.0000
5.2430 5.2379 0.0000
-4.8031 0.0000 15.6994
Ti Cr Cu Se
4 8 6 24
direct
0.1574 0.6725 0.8351
0.3275 0.8426 0.6649
0.6725 0.1574 0.3351
0.8426 0.3275 0.1649
0.0000 0.0000 0.0000
0.0000 0.0000 0.5000
0.0000 0.5000 0.0000
0.3262 0.3400 0.6671
0.3400 0.3262 0.1671
0.5000 0.0000 0.5000
0.6600 0.6738 0.8329
0.6738 0.6600 0.3329
0.1351 0.8649 0.2500
0.2137 0.4575 0.4185
0.4575 0.2137 0.9185
0.5425 0.7863 0.0815
0.7863 0.5425 0.5815
0.8649 0.1351 0.7500
0.0863 0.0894 0.6618
0.0894 0.0863 0.1618
0.0903 0.5633 0.1614
0.0904 0.5894 0.6697
0.2338 0.7488 0.9978
0.2355 0.2530 0.0064
0.2512 0.7662 0.5022
0.2530 0.2355 0.5064
0.4112 0.4342 0.8290
0.4106 0.9096 0.8303
0.4342 0.4112 0.3290
0.4367 0.9097 0.3386
0.5633 0.0903 0.6614
0.5658 0.5888 0.6710
0.5894 0.0904 0.1697
0.5888 0.5658 0.1710
0.7470 0.7645 0.4936
0.7488 0.2338 0.4978
0.7645 0.7470 0.9936
0.7662 0.2512 0.0022
0.9096 0.4106 0.3303
0.9097 0.4367 0.8386
0.9106 0.9137 0.8382
0.9137 0.9106 0.3382
```

Values from the calculation:
The density of states at the Fermi level is 0.31 states/eV per atom. The calculation puts the total energy at -5.799 eV per atom. The formation energy from raw total energies comes out at -14.71 kcal/mol of atoms.

***

Q: Which of these has the lowest total energy?
A: TcSnN

***

Q: The highest total energy belongs to which entry?
A: Tb4ErMg7

***

Q: Which value of total energy does entry 2 give?
A: -4.980 eV per atom

***

Q: The lowest total energy belongs to which entry?
A: TcSnN